# NbV4 (PBE-GGA, optimized geometry)
data_NbV4
_chemical_formula_sum 'Nb2 V8'
_symmetry_space_group_name_H-M 'P 1 2/c 1'
_symmetry_Int_Tables_number 13
_cell_length_a 5.2222
_cell_length_b 6.7240
_cell_length_c 4.7180
_cell_angle_alpha 90.00
_cell_angle_beta 115.24
_cell_angle_gamma 90.00
loop_
_symmetry_equiv_pos_as_xyz
'x,y,z'
'-x,-y,-z'
'-x,y,-z+1/2'
'x,-y,z+1/2'
loop_
_atom_site_label
_atom_site_fract_x
_atom_site_fract_y
_atom_site_fract_z
Nb1 0.0000 0.1549 0.2500
V1 0.2547 0.4963 0.2308
V2 0.3578 0.1527 0.9243
# Total moment ... 0.0 μB per formula unit
# E above lowest polymorph ... 0 meV per atom
# Energy relative to the elements ... 0.27 eV per atom